# 1
## TaN3O (PBE)

Data for TaN3O after structural relaxation.

Cell lengths 3.4504, 3.4504, 3.4504 Å; angles 90.00, 90.00, 90.00 degrees
Closest atoms and distances in Å follow each position.
Space group Pm-3m (No. 221)
Symmetry-distinct sites (fractional):
Ta 0.0000 0.0000 0.0000 (multiplicity 1)  12 N 2.44
N 0.0000 0.5000 0.5000 (multiplicity 3)  2 O 1.73
O 0.5000 0.5000 0.5000 (multiplicity 1)  6 N 1.73

As for the uncorrected formation energy: 7.59 eV per formula unit. The density comes out at 9.66 g cm⁻³.


# 2
## TaNO (PBE)

Data for TaNO after structural relaxation.

Cell lengths 13.1764, 3.8911, 6.7665 Å; angles 90.00, 107.67, 90.00 degrees
Closest atoms and distances in Å follow each position.
Space group C2/m (No. 12)
Symmetry-distinct sites (fractional):
Ta 0.1025 0.0000 0.2078 (multiplicity 4)  3 O 1.93-1.99, 1 N 1.97
Ta 0.1885 0.0000 0.8062 (multiplicity 4)  3 N 1.92-2.06, 1 O 1.93
N 0.0541 0.0000 0.8626 (multiplicity 4)  2 Ta 1.92-1.97
N 0.2415 0.5000 0.8523 (multiplicity 4)  4 Ta 2.06-2.21
O 0.1341 0.5000 0.2105 (multiplicity 4)  2 Ta 1.99
O 0.1401 0.0000 0.5071 (multiplicity 4)  2 Ta 1.93

As for the uncorrected formation energy: -5.73 eV per formula unit. The density comes out at 8.48 g cm⁻³.


# 3
## TaN2O2 (PBE)

Data for TaN2O2 after structural relaxation.

Cell lengths 3.8971, 3.8971, 4.3825 Å; angles 90.00, 90.00, 90.00 degrees
Closest atoms and distances in Å follow each position.
Space group P4/mmm (No. 123)
Symmetry-distinct sites (fractional):
Ta 0.0000 0.0000 0.0000 (multiplicity 1)  4 O 1.95
N 0.0000 0.0000 0.5000 (multiplicity 1)  2 Ta 2.19
N 0.5000 0.5000 0.5000 (multiplicity 1)  4 N 2.76, 8 O 2.93
O 0.0000 0.5000 0.0000 (multiplicity 2)  2 Ta 1.95

The energy relative to the lowest polymorph listed for this composition is 0 meV/atom. As for the uncorrected formation energy: 0.19 eV per formula unit. The density comes out at 6.01 g cm⁻³.


# 4
## TaTcN2O (PBE)

Data for TaTcN2O after structural relaxation.

Cell lengths 3.8633, 3.8633, 3.8242 Å; angles 90.00, 90.00, 90.00 degrees
Closest atoms and distances in Å follow each position.
Space group P4/mmm (No. 123)
Symmetry-distinct sites (fractional):
Ta 0.0000 0.0000 0.0000 (multiplicity 1)  8 N 2.72, 4 O 2.73
Tc 0.5000 0.5000 0.5000 (multiplicity 1)  2 O 1.91, 4 N 1.93
N 0.0000 0.5000 0.5000 (multiplicity 2)  2 Tc 1.93
O 0.5000 0.5000 0.0000 (multiplicity 1)  2 Tc 1.91

As for the uncorrected formation energy: 2.02 eV per formula unit. The density comes out at 9.40 g cm⁻³.


# 5
## TaTcN2O (PBE)

Data for TaTcN2O after structural relaxation.

Cell lengths 4.1043, 4.1043, 3.8831 Å; angles 90.00, 90.00, 90.00 degrees
Closest atoms and distances in Å follow each position.
Space group P4/mmm (No. 123)
Symmetry-distinct sites (fractional):
Ta 0.0000 0.0000 0.0000 (multiplicity 1)  2 O 1.94, 4 N 2.05
Tc 0.5000 0.5000 0.5000 (multiplicity 1)  8 N 2.83, 4 O 2.90
N 0.0000 0.5000 0.0000 (multiplicity 2)  2 Ta 2.05
O 0.0000 0.0000 0.5000 (multiplicity 1)  2 Ta 1.94

As for the uncorrected formation energy: 0.03 eV per formula unit. The density comes out at 8.20 g cm⁻³.


# 6
## TaTeN2O (PBE)

Data for TaTeN2O after structural relaxation.

Cell lengths 4.0961, 4.0961, 3.9265 Å; angles 90.00, 90.00, 90.00 degrees
Closest atoms and distances in Å follow each position.
Space group P4/mmm (No. 123)
Symmetry-distinct sites (fractional):
Ta 0.0000 0.0000 0.0000 (multiplicity 1)  8 N 2.84, 4 O 2.90
Te 0.5000 0.5000 0.5000 (multiplicity 1)  2 O 1.96, 4 N 2.05
N 0.0000 0.5000 0.5000 (multiplicity 2)  2 Te 2.05
O 0.5000 0.5000 0.0000 (multiplicity 1)  2 Te 1.96

As for the uncorrected formation energy: 5.71 eV per formula unit. The density comes out at 8.89 g cm⁻³.


| no. | density of states at the Fermi level (states/eV/f.u.) | size of the total moment (μB/f.u.) |
| --- | --- | --- |
| 1 | 1.239 | 0.0 |
| 2 | 0.000 | 0.0 |
| 3 | 1.122 | 1.0 |
| 4 | 3.719 | 0.0 |
| 5 | 2.117 | 4.0 |
| 6 | 3.507 | 2.1 |